[1]
GGA-PBE RuCl5F, relaxed; size of the total moment = 2.11 μB/cell; V = 32.5 A^3/atom; energy relative to the elements, uncorrected = -0.308 eV per atom
1.0
7.498 0.000 3.928
4.018 5.220 1.451
1.329 -0.617 6.584
Ru Cl F
1 5 1
Direct
0.007 0.493 0.493
0.972 0.803 0.253
0.343 0.157 0.157
0.972 0.253 0.803
0.643 0.608 0.608
0.141 0.608 0.608
0.453 0.547 0.547

[2]
GGA-PBE TbTh3Sc, relaxed; density of states at the Fermi level = 7.64 states/eV/f.u.; size of the total moment = 0.00 μB/cell; V = 30.7 A^3/atom; relative energy among the computed polymorphs = 0 meV per atom; ΔE_f = 0.043 eV/atom
1.0
5.989 0.571 -0.781
1.345 9.081 1.151
-0.395 1.295 5.969
Tb Th Sc
2 6 2
Direct
0.546 0.651 0.101
0.454 0.349 0.899
0.949 0.854 0.896
0.051 0.146 0.104
0.657 0.948 0.305
0.343 0.052 0.695
0.856 0.550 0.697
0.144 0.450 0.303
0.248 0.753 0.499
0.752 0.247 0.501

[3]
GGA-PBE PmGd2Ag, relaxed; density of states at the Fermi level = 5.25 states/eV/f.u.; size of the total moment = 14.94 μB/cell; V = 29.9 A^3/atom; relative energy among the computed polymorphs = 114 meV per atom; ΔE_f = -0.015 eV/atom
1.0
-1.616 -0.657 -3.164
1.956 -0.131 -3.035
1.595 -10.656 -0.664
Gd Ag Pm
2 1 1
Direct
0.260 0.260 0.221
0.740 0.740 0.779
0.000 0.000 0.000
0.500 0.500 0.500

[4]
GGA-PBE Ac5Ag2Sn2, relaxed; density of states at the Fermi level = 8.58 states/eV/f.u.; size of the total moment = 0.00 μB/cell; V = 36.0 A^3/atom; ΔE_f = -0.408 eV/atom
1.0
8.742 0.000 0.000
0.000 8.720 0.000
0.000 -4.360 8.496
Ac Ag Sn
10 4 4
Direct
0.000 0.000 0.000
0.500 0.500 0.000
0.832 0.809 0.275
0.168 0.466 0.275
0.332 0.966 0.275
0.668 0.309 0.275
0.168 0.191 0.725
0.832 0.534 0.725
0.668 0.034 0.725
0.332 0.691 0.725
0.623 0.878 0.000
0.377 0.122 0.000
0.123 0.622 0.000
0.877 0.378 0.000
0.000 0.205 0.411
0.500 0.705 0.411
0.000 0.795 0.589
0.500 0.295 0.589

[5]
GGA-PBE Ta2Cd, relaxed; density of states at the Fermi level = 2.49 states/eV/f.u.; size of the total moment = 0.00 μB/cell; V = 19.1 A^3/atom; ΔE_f = 0.302 eV/atom
1.0
-1.505 2.006 4.753
1.505 -2.006 4.753
1.505 2.006 -4.753
Ta Cd
2 1
Direct
0.673 0.673 0.000
0.327 0.327 0.000
0.000 0.000 0.000

[6]
GGA-PBE MnSn3S6, relaxed; density of states at the Fermi level = 2.37 states/eV/f.u.; size of the total moment = 6.37 μB/cell; V = 22.6 A^3/atom; energy relative to the elements, uncorrected = -0.393 eV per atom
1.0
-0.526 3.493 -1.228
-4.333 2.295 8.383
11.488 3.081 3.841
Mn Sn S
2 6 12
Direct
0.750 0.025 0.625
0.250 0.975 0.375
0.750 0.419 0.851
0.250 0.581 0.149
0.750 0.667 0.459
0.250 0.333 0.541
0.750 0.124 0.100
0.250 0.876 0.900
0.750 0.491 0.633
0.250 0.509 0.367
0.750 0.859 0.045
0.250 0.141 0.955
0.750 0.401 0.098
0.250 0.599 0.902
0.750 0.840 0.308
0.250 0.160 0.692
0.750 0.124 0.462
0.250 0.876 0.538
0.750 0.868 0.759
0.250 0.132 0.241